# 1
Computed, not measured: Al5Rh4Au after structural relaxation at the PBE level of DFT.

abc: 2.998 2.998 15.719
angles: 90.00 90.00 90.00
Fractional coordinates of all 10 atoms:
Al 0.500 0.500 0.307
Al 0.500 0.500 0.500
Al 0.500 0.500 0.885
Al 0.500 0.500 0.115
Al 0.500 0.500 0.693
Rh 0.000 0.000 0.210
Rh 0.000 0.000 0.404
Rh 0.000 0.000 0.596
Rh 0.000 0.000 0.790
Au 0.000 0.000 0.000

Crystal system: tetragonal


# 2
Computed, not measured: SrSn3Hg3 after structural relaxation at the PBE level of DFT.

abc: 5.218 9.387 9.387
angles: 120.00 90.00 90.00
Fractional coordinates of all 14 atoms:
Hg 0.750 0.909 0.535
Hg 0.750 0.626 0.091
Hg 0.250 0.374 0.909
Hg 0.750 0.465 0.374
Hg 0.250 0.091 0.465
Hg 0.250 0.535 0.626
Sr 0.250 0.667 0.333
Sr 0.750 0.333 0.667
Sn 0.750 0.039 0.225
Sn 0.250 0.225 0.186
Sn 0.250 0.814 0.039
Sn 0.250 0.961 0.775
Sn 0.750 0.186 0.961
Sn 0.750 0.775 0.814

Energy relative to the lowest polymorph listed for this composition: 0.000 eV per atom
Crystal system: hexagonal


Number 1: ΔE_f -0.9245 eV per atom, calculated total energy -6.06 eV per atom. Number 2: ΔE_f -0.1872 eV per atom, calculated total energy -2.27 eV per atom.